A relaxed structure of RbPa2Ni2Se6. Source: the Alexandria database, functional GGA-PBE.

Results
**Total magnetization**: 1.04 μB/cell
**ΔE_f (raw)**: -0.958 eV per atom
**E_tot**: -63.0 eV/f.u.
**DOS at the Fermi energy**: 8.8 states/eV per cell

a b c (Å): 7.4831 7.5055 7.6484
angles (deg): 89.39 61.05 60.74
Closest atoms and distances in Å follow each position.
Space group P-1 (No. 2)
Unique sites:
Rb 0.0000 0.0000 0.0000 x1  6 Se 3.38-3.41
Pa 0.3321 0.0074 0.3332 x2  6 Se 2.81-2.86, 1 Ni 3.03
Ni 0.1018 0.5618 0.3496 x2  3 Se 2.32-2.35, 1 Ni 2.53
Se 0.1675 0.7444 0.5304 x2  1 Ni 2.32
Se 0.2321 0.2544 0.6816 x2  1 Ni 2.32
Se 0.4433 0.2547 0.0675 x2  1 Ni 2.35

***

A relaxed structure of RbPaNiTe4. Source: the Alexandria database, functional GGA-PBE.

Results
**Total magnetization**: 0.00 μB/cell
**ΔE_f (raw)**: -0.698 eV per atom
**E_tot**: -33.7 eV/f.u.
**DOS at the Fermi energy**: 13.2 states/eV per cell

a b c (Å): 7.3431 6.2898 10.3027
angles (deg): 90.00 106.08 90.00
Closest atoms and distances in Å follow each position.
Space group P2_1/m (No. 11)
Unique sites:
Rb 0.2300 0.2500 0.0457 x2  8 Te 3.61-3.88
Pa 0.2741 0.2500 0.5554 x2  8 Te 2.97-3.33, 1 Ni 3.16
Ni 0.2776 0.7500 0.3549 x2  4 Te 2.47-2.53
Te 0.0039 0.9998 0.6962 x4  1 Ni 2.53
Te 0.4266 0.7500 0.6011 x2  1 Ni 2.47
Te 0.4475 0.7500 0.1731 x2  1 Ni 2.52

***

A relaxed structure of PaReNi. Source: the Alexandria database, functional GGA-PBE.

Results
**Total magnetization**: 0.00 μB/cell
**E_tot**: -27.1 eV/f.u.
**DFT formation energy**: 216 meV per atom
**Distance to the lowest polymorph of the same formula**: 475 meV/atom
**DOS at the Fermi energy**: 3.6 states/eV per cell

a b c (Å): 4.5060 4.5060 2.9109
angles (deg): 90.00 90.00 120.00
Closest atoms and distances in Å follow each position.
Space group P3m1 (No. 156)
Unique sites:
Pa 0.0000 0.0000 0.0000 x1  3 Re 2.77, 3 Ni 2.82, 2 Pa 2.91
Re 0.3333 0.6667 0.3247 x1  3 Ni 2.75, 3 Pa 2.77, 2 Re 2.91
Ni 0.6667 0.3333 0.6277 x1  3 Re 2.75, 3 Pa 2.82, 2 Ni 2.91

***

A relaxed structure of PaReNi4. Source: the Alexandria database, functional GGA-PBE.

Results
**Total magnetization**: 5.23 μB/cell
**E_tot**: -45.9 eV/f.u.
**DFT formation energy**: -145 meV per atom
**DOS at the Fermi energy**: 42.5 states/eV per cell

a b c (Å): 6.9066 6.9066 6.9066
angles (deg): 90.00 90.00 90.00
Closest atoms and distances in Å follow each position.
Space group F-43m (No. 216)
Unique sites:
Pa 0.0000 0.0000 0.0000 x4  12 Ni 2.87, 4 Re 2.99
Re 0.2500 0.2500 0.7500 x4  12 Ni 2.86, 4 Pa 2.99
Ni 0.1231 0.1231 0.3769 x16  6 Ni 2.40-2.48

***

A relaxed structure of Pa2ReNi. Source: the Alexandria database, functional GGA-PBE.

Results
**Total magnetization**: 0.00 μB/cell
**E_tot**: -37.6 eV/f.u.
**DFT formation energy**: -93 meV per atom
**Distance to the lowest polymorph of the same formula**: 123 meV/atom
**DOS at the Fermi energy**: 6.3 states/eV per cell

a b c (Å): 3.3460 3.3460 7.0356
angles (deg): 90.00 90.00 90.00
Closest atoms and distances in Å follow each position.
Space group P4/mmm (No. 123)
Unique sites:
Pa 0.0000 0.0000 0.2437 x2  4 Ni 2.92, 4 Re 2.97
Re 0.5000 0.5000 0.5000 x1  8 Pa 2.97
Ni 0.5000 0.5000 0.0000 x1  8 Pa 2.92

***

A relaxed structure of Pa2ReNi. Source: the Alexandria database, functional GGA-PBE.

Results
**Total magnetization**: 0.00 μB/cell
**E_tot**: -38.1 eV/f.u.
**DFT formation energy**: -216 meV per atom
**Distance to the lowest polymorph of the same formula**: 0 meV/atom
**DOS at the Fermi energy**: 8.6 states/eV per cell

a b c (Å): 5.6571 4.1698 7.2562
angles (deg): 90.00 107.12 90.00
Closest atoms and distances in Å follow each position.
Space group P2_1/m (No. 11)
Unique sites:
Pa 0.2239 0.2500 0.4332 x2  4 Ni 2.78-3.05, 3 Re 2.79-3.08
Pa 0.2267 0.2500 0.9304 x2  2 Ni 2.81, 4 Re 2.84-3.03
Re 0.3178 0.7500 0.2086 x2  7 Pa 2.79-3.08, 2 Ni 2.89
Ni 0.3109 0.7500 0.6976 x2  6 Pa 2.78-3.05, 2 Re 2.89

***

A relaxed structure of Pa2ReNi. Source: the Alexandria database, functional GGA-PBE.

Results
**Total magnetization**: 0.00 μB/cell
**E_tot**: -37.5 eV/f.u.
**DFT formation energy**: -65 meV per atom
**Distance to the lowest polymorph of the same formula**: 150 meV/atom
**DOS at the Fermi energy**: 28.3 states/eV per cell

a b c (Å): 6.8302 6.8302 6.8302
angles (deg): 90.00 90.00 90.00
Closest atoms and distances in Å follow each position.
Space group Fm-3m (No. 225)
Unique sites:
Pa 0.2500 0.2500 0.2500 x8  4 Re 2.96, 4 Ni 2.96
Re 0.0000 0.0000 0.0000 x4  8 Pa 2.96
Ni 0.0000 0.0000 0.5000 x4  8 Pa 2.96

***

A relaxed structure of PaReNi. Source: the Alexandria database, functional GGA-PBE.

Results
**Total magnetization**: 0.00 μB/cell
**E_tot**: -28.5 eV/f.u.
**DFT formation energy**: -259 meV per atom
**Distance to the lowest polymorph of the same formula**: 0 meV/atom
**DOS at the Fermi energy**: 13.1 states/eV per cell

a b c (Å): 5.0152 5.2039 7.8158
angles (deg): 90.00 90.00 90.00
Closest atoms and distances in Å follow each position.
Space group Imma (No. 74)
Unique sites:
Pa 0.0000 0.2500 0.1328 x4  6 Re 3.01-3.15, 6 Ni 3.03-3.24, 4 Pa 3.11-3.33
Re 0.0000 0.0000 0.5000 x4  2 Re 2.60, 4 Ni 2.66
Ni 0.2500 0.2500 0.7500 x4  2 Ni 2.51, 4 Re 2.66

***

A relaxed structure of Pa2ReNi. Source: the Alexandria database, functional GGA-PBE.

Results
**Total magnetization**: 0.00 μB/cell
**E_tot**: -35.9 eV/f.u.
**DFT formation energy**: 341 meV per atom
**Distance to the lowest polymorph of the same formula**: 556 meV/atom
**DOS at the Fermi energy**: 11.6 states/eV per cell

a b c (Å): 3.0581 3.0581 29.1202
angles (deg): 90.00 90.00 120.00
Closest atoms and distances in Å follow each position.
Space group R-3m (No. 166, hexagonal axes)
Unique sites:
Pa 0.0000 0.0000 0.0864 x6  1 Ni 2.52
Re 0.0000 0.0000 0.5000 x3  6 Pa 2.93, 6 Re 3.06
Ni 0.0000 0.0000 0.0000 x3  2 Pa 2.52

***

A relaxed structure of ScPaReNi. Source: the Alexandria database, functional GGA-PBE.

Results
**Total magnetization**: 0.00 μB/cell
**E_tot**: -34.9 eV/f.u.
**DFT formation energy**: -221 meV per atom
**DOS at the Fermi energy**: 17.1 states/eV per cell

a b c (Å): 6.6507 6.6507 6.6507
angles (deg): 90.00 90.00 90.00
Closest atoms and distances in Å follow each position.
Space group F-43m (No. 216)
Unique sites:
Sc 0.0000 0.0000 0.0000 x4  4 Re 2.88, 4 Ni 2.88
Pa 0.0000 0.0000 0.5000 x4  4 Re 2.88, 4 Ni 2.88
Re 0.2500 0.2500 0.2500 x4  4 Pa 2.88, 4 Sc 2.88
Ni 0.2500 0.2500 0.7500 x4  4 Pa 2.88, 4 Sc 2.88

***

A relaxed structure of PaReNiSn. Source: the Alexandria database, functional GGA-PBE.

Results
**Total magnetization**: 0.00 μB/cell
**E_tot**: -31.7 eV/f.u.
**DFT formation energy**: -4 meV per atom
**DOS at the Fermi energy**: 16.5 states/eV per cell

a b c (Å): 6.6892 6.6892 6.6892
angles (deg): 90.00 90.00 90.00
Closest atoms and distances in Å follow each position.
Space group F-43m (No. 216)
Unique sites:
Pa 0.0000 0.0000 0.0000 x4  4 Re 2.90, 4 Ni 2.90
Re 0.2500 0.2500 0.2500 x4  4 Sn 2.90, 4 Pa 2.90
Ni 0.2500 0.2500 0.7500 x4  4 Sn 2.90, 4 Pa 2.90
Sn 0.0000 0.0000 0.5000 x4  4 Ni 2.90, 4 Re 2.90

***

A relaxed structure of UPaReNi. Source: the Alexandria database, functional GGA-PBE.

Results
**Total magnetization**: 0.61 μB/cell
**E_tot**: -39.4 eV/f.u.
**DFT formation energy**: -104 meV per atom
**DOS at the Fermi energy**: 17.3 states/eV per cell

a b c (Å): 6.5305 6.5305 6.5305
angles (deg): 90.00 90.00 90.00
Closest atoms and distances in Å follow each position.
Space group F-43m (No. 216)
Unique sites:
U 0.0000 0.0000 0.0000 x4  4 Pa 2.83, 4 Re 2.83
Pa 0.2500 0.2500 0.2500 x4  4 Ni 2.83, 4 U 2.83
Re 0.2500 0.2500 0.7500 x4  4 Ni 2.83, 4 U 2.83
Ni 0.0000 0.0000 0.5000 x4  4 Pa 2.83, 4 Re 2.83

***

Q: What is the DOS at the Fermi energy in the tenth record?
A: 17.1 states/eV per cell